No. 1
Here is a relaxed structure of CaTaIr from Alexandria. Energies are from PBE-GGA.

Distance to the lowest polymorph of the same formula, eV/atom: 0.347
Formation energy from the elements, meV per atom: -88

Cell: 6.3881 6.3881 6.3881 Å, 149.33 149.30 43.95°
Last column: nearest neighbours and their distance in Å.
Positions (direct):
Ca (0.9919, 0.9919, 0.0000)  5 Ta 3.32-3.53, 5 Ir 3.33-3.61, 4 Ca 3.38
Ir (0.2964, 0.2964, 0.0000)  4 Ta 2.59
Ta (0.7116, 0.7116, 0.0000)  4 Ir 2.59

No. 2
Here is a relaxed structure of La2TlCo from Alexandria. Energies are from PBE-GGA.

Formation energy from the elements, meV per atom: -41

Cell: 5.3511 5.3519 3.8471 Å, 90.00 90.00 90.00°
Last column: nearest neighbours and their distance in Å.
Positions (direct):
Co (0.0000, 0.5000, 0.5000)  8 La 3.30
La (0.0000, 0.0000, 0.0000)  4 Tl 3.30, 4 Co 3.30
La (0.5000, 0.5000, 0.0000)  4 Co 3.30, 4 Tl 3.30
Tl (0.5000, 0.0000, 0.5000)  8 La 3.30

No. 3
Here is a relaxed structure of BC2 from Alexandria. Energies are from PBE-GGA.

Distance to the lowest polymorph of the same formula, eV/atom: 0.102
Formation energy from the elements, meV per atom: 342

Cell: 2.5149 2.5149 12.0366 Å, 90.00 90.00 90.00°
Last column: nearest neighbours and their distance in Å.
Positions (direct):
B (0.5000, 0.5000, 0.8457)  4 C 1.63-1.66
B (0.5000, 0.5000, 0.4954)  4 C 1.64
B (0.0000, 0.0000, 0.6712)  4 C 1.64
B (0.0000, 0.0000, 0.3209)  4 C 1.63-1.66
C (0.5000, 0.0000, 0.9356)  2 C 1.53, 2 B 1.66
C (0.5000, 0.0000, 0.5833)  4 B 1.64
C (0.0000, 0.5000, 0.7590)  4 B 1.63-1.64
C (0.5000, 0.5000, 0.1591)  4 C 1.53-1.55
C (0.5000, 0.0000, 0.2310)  2 C 1.53, 2 B 1.66
C (0.0000, 0.5000, 0.4076)  4 B 1.63-1.64
C (0.0000, 0.0000, 0.0076)  4 C 1.53-1.55
C (0.0000, 0.5000, 0.0833)  4 C 1.55